(1)
Computed, not measured: crystalline Y2Cu2Pd at its relaxed geometry at the GGA-PBE level of DFT.

Summary:
Space-group type: P4/mbm

a = 7.159 Å, b = 7.159 Å, c = 3.862 Å
α = 90.00°, β = 90.00°, γ = 90.00°
Element x y z (fractional)
Y1 0.180 0.320 0.000
Y2 0.320 0.820 0.000
Y3 0.680 0.180 0.000
Y4 0.820 0.680 0.000
Cu1 0.121 0.621 0.500
Cu2 0.379 0.121 0.500
Cu3 0.621 0.879 0.500
Cu4 0.879 0.379 0.500
Pd1 0.000 0.000 0.500
Pd2 0.500 0.500 0.500


(2)
Computed, not measured: crystalline YCu2Pd at its relaxed geometry at the GGA-PBE level of DFT.

Summary:
Space-group type: F-43m

a = 4.587 Å, b = 4.587 Å, c = 4.587 Å
α = 60.00°, β = 60.00°, γ = 60.00°
Element x y z (fractional)
Y1 0.000 0.000 0.000
Cu1 0.250 0.250 0.250
Cu2 0.500 0.500 0.500
Pd1 0.750 0.750 0.750


(3)
Computed, not measured: crystalline YCuPd at its relaxed geometry at the GGA-PBE level of DFT.

Summary:
Space-group type: F-43m
Distance to the lowest polymorph of the same formula (eV per atom): 0.366

a = 4.598 Å, b = 4.598 Å, c = 4.598 Å
α = 60.00°, β = 60.00°, γ = 60.00°
Element x y z (fractional)
Y1 0.000 0.000 0.000
Cu1 0.750 0.750 0.750
Pd1 0.250 0.250 0.250


(4)
Computed, not measured: crystalline YCuPd2 at its relaxed geometry at the GGA-PBE level of DFT.

Summary:
Space-group type: F-43m

a = 4.636 Å, b = 4.636 Å, c = 4.636 Å
α = 60.00°, β = 60.00°, γ = 60.00°
Element x y z (fractional)
Y1 0.000 0.000 0.000
Cu1 0.250 0.250 0.250
Pd1 0.500 0.500 0.500
Pd2 0.750 0.750 0.750


(5)
Computed, not measured: crystalline YCuPd at its relaxed geometry at the GGA-PBE level of DFT.

Summary:
Space-group type: F-43m
Distance to the lowest polymorph of the same formula (eV per atom): 0.000

a = 4.515 Å, b = 4.515 Å, c = 4.515 Å
α = 60.00°, β = 60.00°, γ = 60.00°
Element x y z (fractional)
Y1 0.000 0.000 0.000
Cu1 0.500 0.500 0.500
Pd1 0.750 0.750 0.750


(6)
Computed, not measured: crystalline YZnCuPd at its relaxed geometry at the GGA-PBE level of DFT.

Summary:
Space-group type: F-43m
Distance to the lowest polymorph of the same formula (eV per atom): 0.000

a = 4.642 Å, b = 4.642 Å, c = 4.642 Å
α = 60.00°, β = 60.00°, γ = 60.00°
Element x y z (fractional)
Y1 0.000 0.000 0.000
Zn1 0.500 0.500 0.500
Cu1 0.750 0.750 0.750
Pd1 0.250 0.250 0.250


(7)
Computed, not measured: crystalline YZnCuPd at its relaxed geometry at the GGA-PBE level of DFT.

Summary:
Space-group type: F-43m
Distance to the lowest polymorph of the same formula (eV per atom): 0.092

a = 4.654 Å, b = 4.654 Å, c = 4.654 Å
α = 60.00°, β = 60.00°, γ = 60.00°
Element x y z (fractional)
Y1 0.000 0.000 0.000
Zn1 0.250 0.250 0.250
Cu1 0.500 0.500 0.500
Pd1 0.750 0.750 0.750


(8)
Computed, not measured: crystalline ZnCu2Pd at its relaxed geometry at the GGA-PBE level of DFT.

Summary:
Space-group type: Pmmn

a = 4.301 Å, b = 5.250 Å, c = 4.686 Å
α = 90.00°, β = 90.00°, γ = 90.00°
Element x y z (fractional)
Zn1 0.250 0.250 0.169
Zn2 0.750 0.750 0.831
Cu1 0.250 0.002 0.653
Cu2 0.250 0.498 0.653
Cu3 0.750 0.502 0.347
Cu4 0.750 0.998 0.347
Pd1 0.250 0.750 0.155
Pd2 0.750 0.250 0.845


(9)
Computed, not measured: crystalline ZnCu3Pd at its relaxed geometry at the GGA-PBE level of DFT.

Summary:
Space-group type: Cmmm

a = 12.282 Å, b = 12.282 Å, c = 2.702 Å
α = 90.00°, β = 90.00°, γ = 160.76°
Element x y z (fractional)
Zn1 0.130 0.870 0.000
Zn2 0.870 0.130 0.000
Cu1 0.047 0.953 0.500
Cu2 0.228 0.772 0.000
Cu3 0.443 0.557 0.000
Cu4 0.557 0.443 0.000
Cu5 0.772 0.228 0.000
Cu6 0.953 0.047 0.500
Pd1 0.328 0.672 0.500
Pd2 0.672 0.328 0.500


(10)
Computed, not measured: crystalline ZnCu5Pd6 at its relaxed geometry at the GGA-PBE level of DFT.

Summary:
Space-group type: P2/m

a = 4.273 Å, b = 6.044 Å, c = 6.744 Å
α = 90.00°, β = 108.15°, γ = 90.00°
Element x y z (fractional)
Zn1 0.000 0.000 0.000
Cu1 0.000 0.500 0.000
Cu2 0.332 0.000 0.663
Cu3 0.334 0.500 0.667
Cu4 0.666 0.500 0.333
Cu5 0.668 0.000 0.337
Pd1 0.166 0.251 0.333
Pd2 0.166 0.749 0.333
Pd3 0.500 0.249 0.000
Pd4 0.500 0.751 0.000
Pd5 0.834 0.251 0.667
Pd6 0.834 0.749 0.667


(11)
Computed, not measured: crystalline ZnCu2Pd at its relaxed geometry at the GGA-PBE level of DFT.

Summary:
Space-group type: F-43m

a = 4.220 Å, b = 4.220 Å, c = 4.220 Å
α = 60.00°, β = 60.00°, γ = 60.00°
Element x y z (fractional)
Zn1 0.000 0.000 0.000
Cu1 0.250 0.250 0.250
Cu2 0.500 0.500 0.500
Pd1 0.750 0.750 0.750


(12)
Computed, not measured: crystalline Zr2CuPd at its relaxed geometry at the GGA-PBE level of DFT.

Summary:
Space-group type: F-43m

a = 4.623 Å, b = 4.623 Å, c = 4.623 Å
α = 60.00°, β = 60.00°, γ = 60.00°
Element x y z (fractional)
Zr1 0.000 0.000 0.000
Zr2 0.250 0.250 0.250
Cu1 0.750 0.750 0.750
Pd1 0.500 0.500 0.500


no.,calculated formation energy (eV per atom)
1,-0.42
2,-0.31
3,-0.02
4,-0.50
5,-0.39
6,-0.45
7,-0.36
8,-0.23
9,-0.01
10,-0.23
11,-0.21
12,-0.12